i:
A relaxed structure of ZrZn2W. Source: the Alexandria database, functional PBE.

Space-group type: P4mm, No. 99

Cell lengths 3.469, 3.469, 5.782 Å; angles 90.00, 90.00, 90.00 degrees
Sites, in units of the cell vectors:
Zr (0.000, 0.000, 0.000)
Zn (0.000, 0.000, 0.483)
Zn (0.500, 0.500, 0.719)
W (0.500, 0.500, 0.241)

ii:
A relaxed structure of ZrZn2W. Source: the Alexandria database, functional PBE.

Space-group type: P4mm, No. 99

Cell lengths 2.811, 2.811, 8.473 Å; angles 90.00, 90.00, 90.00 degrees
Sites, in units of the cell vectors:
Zr (0.000, 0.000, 0.000)
Zn (0.000, 0.000, 0.517)
Zn (0.500, 0.500, 0.735)
W (0.500, 0.500, 0.283)

iii:
A relaxed structure of ZrZn2W. Source: the Alexandria database, functional PBE.

Space-group type: P4/mmm, No. 123

Cell lengths 4.894, 4.894, 2.755 Å; angles 90.00, 90.00, 90.00 degrees
Sites, in units of the cell vectors:
Zr (0.000, 0.000, 0.000)
Zn (0.000, 0.500, 0.500)
Zn (0.500, 0.000, 0.500)
W (0.500, 0.500, 0.000)

iv:
A relaxed structure of ZrZn2W. Source: the Alexandria database, functional PBE.

Space-group type: I-42d, No. 122

Cell lengths 10.257, 10.257, 10.257 Å; angles 158.10, 158.10, 31.16 degrees
Sites, in units of the cell vectors:
Zr (0.000, 0.000, 0.000)
Zr (0.750, 0.250, 0.500)
Zn (0.163, 0.625, 0.038)
Zn (0.375, 0.413, 0.538)
Zn (0.587, 0.125, 0.962)
Zn (0.875, 0.837, 0.462)
W (0.250, 0.750, 0.500)
W (0.500, 0.500, 0.000)

Which one sits at the top of the stability order? ii does.